1.
VASP calculation (PBE-GGA) on BaLaRh3 after structural relaxation.

For the polymorph energy (0 for the lowest one), the calculation gives 600 meV/atom. The formation energy is 848 meV per atom. The calculation puts the electronic total energy at -4.93 eV per atom. The crystal system is cubic.

a = 5.0983 Å, b = 5.0983 Å, c = 5.0983 Å
α = 90.00°, β = 90.00°, γ = 90.00°
Element x y z (fractional)
Ba  0.0000  0.0000  0.0000
La  0.5000  0.5000  0.5000
Rh  0.0000  0.0000  0.5000
Rh  0.0000  0.5000  0.0000
Rh  0.5000  0.0000  0.0000

***

2.
VASP calculation (PBE-GGA) on Ba2LaRh2 after structural relaxation.

The formation energy is -214 meV per atom. The calculation puts the electronic total energy at -4.91 eV per atom. The crystal system is tetragonal.

a = 7.6101 Å, b = 7.6101 Å, c = 5.1333 Å
α = 90.00°, β = 90.00°, γ = 90.00°
Element x y z (fractional)
Ba  0.1691  0.3309  0.0000
Ba  0.3309  0.8309  0.0000
Ba  0.6691  0.1691  0.0000
Ba  0.8309  0.6691  0.0000
La  0.0000  0.0000  0.5000
La  0.5000  0.5000  0.5000
Rh  0.1236  0.6236  0.5000
Rh  0.3764  0.1236  0.5000
Rh  0.6236  0.8764  0.5000
Rh  0.8764  0.3764  0.5000

***

3.
VASP calculation (PBE-GGA) on BaLa4Rh after structural relaxation.

The formation energy is 500 meV per atom. The calculation puts the electronic total energy at -4.33 eV per atom. The crystal system is cubic.

a = 6.5641 Å, b = 6.5641 Å, c = 6.5641 Å
α = 60.00°, β = 60.00°, γ = 60.00°
Element x y z (fractional)
Ba  0.0000  0.0000  0.0000
La  0.1376  0.6208  0.6208
La  0.6208  0.1376  0.6208
La  0.6208  0.6208  0.1376
La  0.6208  0.6208  0.6208
Rh  0.2500  0.2500  0.2500

***

Repeat the second record exactly.
VASP calculation (PBE-GGA) on Ba2LaRh2 after structural relaxation.

The formation energy is -214 meV per atom. The calculation puts the electronic total energy at -4.91 eV per atom. The crystal system is tetragonal.

a = 7.6101 Å, b = 7.6101 Å, c = 5.1333 Å
α = 90.00°, β = 90.00°, γ = 90.00°
Element x y z (fractional)
Ba  0.1691  0.3309  0.0000
Ba  0.3309  0.8309  0.0000
Ba  0.6691  0.1691  0.0000
Ba  0.8309  0.6691  0.0000
La  0.0000  0.0000  0.5000
La  0.5000  0.5000  0.5000
Rh  0.1236  0.6236  0.5000
Rh  0.3764  0.1236  0.5000
Rh  0.6236  0.8764  0.5000
Rh  0.8764  0.3764  0.5000

***

Repeat the third record exactly.
VASP calculation (PBE-GGA) on BaLa4Rh after structural relaxation.

The formation energy is 500 meV per atom. The calculation puts the electronic total energy at -4.33 eV per atom. The crystal system is cubic.

a = 6.5641 Å, b = 6.5641 Å, c = 6.5641 Å
α = 60.00°, β = 60.00°, γ = 60.00°
Element x y z (fractional)
Ba  0.0000  0.0000  0.0000
La  0.1376  0.6208  0.6208
La  0.6208  0.1376  0.6208
La  0.6208  0.6208  0.1376
La  0.6208  0.6208  0.6208
Rh  0.2500  0.2500  0.2500

***

Which of these has the highest electronic total energy? BaLa4Rh